Entry from Alexandria via LeMat-Bulk: an optimized crystal structure of Er4TmSe6 (PBE).

VASP energy, eV for the cell shown: -252.63
V, Å³ per atom: 24.422
Spin magnetization, Bohr magnetons per cell: 0.00
Raw formation energy, eV per atom: -1.775

Unit cell a=3.941 b=13.258 c=20.568 alpha=90.00 beta=90.00 gamma=90.00
Space group Cmcm (No. 63)
Symmetry-distinct sites (fractional):
Er 0.000 0.089 0.127
Er 0.000 0.359 0.038
Tm 0.000 0.152 0.750
Se 0.000 0.000 0.000
Se 0.000 0.192 0.250
Se 0.000 0.269 0.591
Se 0.000 0.446 0.167

***

Entry from Alexandria via LeMat-Bulk: an optimized crystal structure of Pa2GeC (PBE).

VASP energy, eV for the cell shown: -133.09
V, Å³ per atom: 23.261
Spin magnetization, Bohr magnetons per cell: 3.58
Polymorph energy (0 for the lowest one), meV per atom: 271.5

Unit cell a=6.147 b=3.916 c=15.462 alpha=90.00 beta=90.00 gamma=90.00
Space group Pnma (No. 62)
Symmetry-distinct sites (fractional):
Pa 0.134 0.250 0.083
Pa 0.140 0.750 0.351
Ge 0.115 0.750 0.750
C 0.068 0.250 0.936

***

Entry from Alexandria via LeMat-Bulk: an optimized crystal structure of CsCdAg2Au (PBE).

VASP energy, eV for the cell shown: -10.45
V, Å³ per atom: 31.977
Spin magnetization, Bohr magnetons per cell: 0.00

Unit cell a=5.449 b=5.449 c=5.385 alpha=90.00 beta=90.00 gamma=90.00
Space group P4/mmm (No. 123)
Symmetry-distinct sites (fractional):
Cs 0.000 0.000 0.000
Cd 0.500 0.500 0.000
Ag 0.000 0.500 0.500
Au 0.500 0.500 0.500

***

Entry from Alexandria via LeMat-Bulk: an optimized crystal structure of Y8Ni2Pd (PBE).

VASP energy, eV for the cell shown: -141.34
V, Å³ per atom: 26.859
Spin magnetization, Bohr magnetons per cell: 0.01
Polymorph energy (0 for the lowest one), meV per atom: 87.7

Unit cell a=8.326 b=12.619 c=5.888 alpha=90.00 beta=107.22 gamma=90.00
Space group Cm (No. 8)
Symmetry-distinct sites (fractional):
Y 0.000 0.000 0.000
Y 0.078 0.370 0.784
Y 0.160 0.131 0.590
Y 0.237 0.500 0.365
Y 0.369 0.223 0.183
Ni 0.368 0.306 0.681
Pd 0.367 0.000 0.047

***

Entry from Alexandria via LeMat-Bulk: an optimized crystal structure of As2SeBr (PBE).

VASP energy, eV for the cell shown: -12.60
V, Å³ per atom: 23.670
Spin magnetization, Bohr magnetons per cell: 0.00
Polymorph energy (0 for the lowest one), meV per atom: 505.3
Raw formation energy, eV per atom: 0.463

Unit cell a=3.518 b=4.188 c=6.426 alpha=90.00 beta=90.00 gamma=90.00
Space group Pmmm (No. 47)
Symmetry-distinct sites (fractional):
As 0.000 0.000 0.000
As 0.500 0.000 0.500
Se 0.000 0.500 0.500
Br 0.500 0.500 0.000

***

Entry from Alexandria via LeMat-Bulk: an optimized crystal structure of BaSrIr (PBE).

VASP energy, eV for the cell shown: -198.99
V, Å³ per atom: 32.299
Spin magnetization, Bohr magnetons per cell: 0.00
Polymorph energy (0 for the lowest one), meV per atom: 193.0

Unit cell a=6.099 b=11.598 c=21.919 alpha=90.00 beta=90.00 gamma=90.00
Space group Fddd (No. 70, origin choice 2)
Symmetry-distinct sites (fractional):
Ba 0.125 0.280 0.125
Sr 0.125 0.125 0.533
Ir 0.125 0.125 0.000